1.
# Ac8Rh3CBr4 | Alexandria via LeMat-Bulk | GGA-PBE | optimized geometry
# Density, g/cm³: 7.8
# Energy, Ha/atom: -0.1995
# Formation energy (no corrections), eV per atom: -1.002
# Magnetic moment, μB per atom: 0.000
data_Ac8Rh3CBr4
_cell_length_a 14.850
_cell_length_b 8.575
_cell_length_c 9.638
_cell_angle_alpha 90.00
_cell_angle_beta 120.95
_cell_angle_gamma 90.00
_symmetry_space_group_name_H-M 'C 1 2/m 1'
_symmetry_Int_Tables_number 12
loop_
_symmetry_equiv_pos_as_xyz
'x,y,z'
'-x,-y,-z'
'-x,y,-z'
'x,-y,z'
'x+1/2,y+1/2,z'
'-x+1/2,-y+1/2,-z'
'-x+1/2,y+1/2,-z'
'x+1/2,-y+1/2,z'
loop_
_atom_site_label
_atom_site_fract_x
_atom_site_fract_y
_atom_site_fract_z
_atom_site_occupancy
Ac1 0.017 0.239 0.313 1
Ac2 0.222 0.000 0.687 1
Ac3 0.233 0.500 0.698 1
Rh1 0.000 0.500 0.500 1
Rh2 0.250 0.250 0.500 1
C1 0.000 0.000 0.500 1
Br1 0.000 0.000 0.000 1
Br2 0.000 0.500 0.000 1
Br3 0.250 0.250 0.000 1

2.
# Pm3CI7 | Alexandria via LeMat-Bulk | GGA-PBE | optimized geometry
# Density, g/cm³: 4.3
# Energy, Ha/atom: -0.1482
# Formation energy (no corrections), eV per atom: -0.913
# Magnetic moment, μB per atom: 0.182
data_Pm3CI7
_cell_length_a 8.7488
_cell_length_b 8.7488
_cell_length_c 7.7251
_cell_angle_alpha 90.00
_cell_angle_beta 90.00
_cell_angle_gamma 120.00
_symmetry_space_group_name_H-M 'P 3 m 1'
_symmetry_Int_Tables_number 156
loop_
_symmetry_equiv_pos_as_xyz
'x,y,z'
'-y,x-y,z'
'-x+y,-x,z'
'-y,-x,z'
'-x+y,y,z'
'x,x-y,z'
loop_
_atom_site_label
_atom_site_fract_x
_atom_site_fract_y
_atom_site_fract_z
_atom_site_occupancy
Pm1 0.0229 0.5114 0.0000 1
C1 0.3333 0.6667 0.0822 1
I1 0.1646 0.3292 0.7512 1
I2 0.3357 0.1678 0.2268 1
I3 0.6667 0.3333 0.7581 1

3.
# La5Si | Alexandria via LeMat-Bulk | GGA-PBE | optimized geometry
# Density, g/cm³: 5.9
# ΔE to the lowest computed polymorph, meV/atom: 707.5
# Energy, Ha/atom: -0.1644
# Formation energy (no corrections), eV per atom: 0.536
# Magnetic moment, μB per atom: 0.000
data_La5Si
_cell_length_a 6.2619
_cell_length_b 6.2619
_cell_length_c 5.9841
_cell_angle_alpha 90.00
_cell_angle_beta 90.00
_cell_angle_gamma 120.00
_symmetry_space_group_name_H-M 'P 6/m m m'
_symmetry_Int_Tables_number 191
_symmetry_space_group_name_Hall '-P 6 2'
loop_
_atom_site_label
_atom_site_fract_x
_atom_site_fract_y
_atom_site_fract_z
_atom_site_occupancy
La1 0.0000 0.5000 0.0000 1
La2 0.3333 0.6667 0.5000 1
Si1 0.0000 0.0000 0.5000 1

4.
# Mg2ZrMn | Alexandria via LeMat-Bulk | GGA-PBE | optimized geometry
# Density, g/cm³: 4.2
# Formation enthalpy at 0 K, meV per atom: 191
# Energy, Ha/atom: -0.1851
# Magnetic moment, μB per atom: 0.785
data_Mg2ZrMn
_cell_length_a 4.623
_cell_length_b 4.623
_cell_length_c 7.293
_cell_angle_alpha 90.00
_cell_angle_beta 90.00
_cell_angle_gamma 90.00
_symmetry_space_group_name_H-M 'I -4 m 2'
_symmetry_Int_Tables_number 119
_symmetry_space_group_name_Hall 'I -4 -2'
loop_
_atom_site_label
_atom_site_fract_x
_atom_site_fract_y
_atom_site_fract_z
_atom_site_occupancy
Mg1 0.000 0.000 0.000 1
Mg2 0.000 0.500 0.250 1
Zr1 0.000 0.000 0.500 1
Mn1 0.000 0.500 0.750 1

5.
# Si2TcAs | Alexandria via LeMat-Bulk | GGA-PBE | optimized geometry
# Density, g/cm³: 6.0
# Energy, Ha/atom: -0.2350
# Formation energy (no corrections), eV per atom: 0.071
# Magnetic moment, μB per atom: 0.000
data_Si2TcAs
_cell_length_a 8.375
_cell_length_b 3.104
_cell_length_c 4.893
_cell_angle_alpha 90.00
_cell_angle_beta 95.81
_cell_angle_gamma 90.00
_symmetry_space_group_name_H-M 'C 1 m 1'
_symmetry_Int_Tables_number 8
loop_
_symmetry_equiv_pos_as_xyz
'x,y,z'
'x,-y,z'
'x+1/2,y+1/2,z'
'x+1/2,-y+1/2,z'
loop_
_atom_site_label
_atom_site_fract_x
_atom_site_fract_y
_atom_site_fract_z
_atom_site_occupancy
Si1 0.000 0.000 0.000 1
Si2 0.234 0.000 0.758 1
Tc1 0.233 0.500 0.153 1
As1 0.440 0.000 0.442 1

6.
# TaWN | Alexandria via LeMat-Bulk | GGA-PBE | optimized geometry
# Density, g/cm³: 16.1
# Energy, Ha/atom: -0.4231
# Formation energy (no corrections), eV per atom: -0.470
# Magnetic moment, μB per atom: 0.000
data_TaWN
_cell_length_a 3.032
_cell_length_b 3.032
_cell_length_c 4.254
_cell_angle_alpha 90.00
_cell_angle_beta 90.00
_cell_angle_gamma 90.00
_symmetry_space_group_name_H-M 'P 4/m m m'
_symmetry_Int_Tables_number 123
_symmetry_space_group_name_Hall '-P 4 2'
loop_
_atom_site_label
_atom_site_fract_x
_atom_site_fract_y
_atom_site_fract_z
_atom_site_occupancy
Ta1 0.000 0.000 0.000 1
W1 0.500 0.500 0.500 1
N1 0.500 0.500 0.000 1

7.
# Ac3Be2HgPd9 | Alexandria via LeMat-Bulk | GGA-PBE | optimized geometry
# Density, g/cm³: 10.0
# Formation enthalpy at 0 K, meV per atom: -587
# Energy, Ha/atom: -0.1853
# Magnetic moment, μB per atom: 0.000
data_Ac3Be2HgPd9
_cell_length_a 6.9672
_cell_length_b 6.9672
_cell_length_c 7.3289
_cell_angle_alpha 90.00
_cell_angle_beta 90.00
_cell_angle_gamma 120.00
_symmetry_space_group_name_H-M 'P -3 m 1'
_symmetry_Int_Tables_number 164
_symmetry_space_group_name_Hall '-P 3 2"'
loop_
_atom_site_label
_atom_site_fract_x
_atom_site_fract_y
_atom_site_fract_z
_atom_site_occupancy
Ac1 0.0000 0.0000 0.0000 1
Ac2 0.3333 0.6667 0.6637 1
Be1 0.3333 0.6667 0.1229 1
Hg1 0.0000 0.0000 0.5000 1
Pd1 0.0000 0.5000 0.0000 1
Pd2 0.1914 0.3828 0.3113 1